A plane-wave DFT calculation with PBE was carried out for crystalline Pr3NdY at its relaxed geometry.

a b c (Å): 11.6376 5.2049 11.6585
angles (deg): 90.00 90.14 90.00
Last column: nearest neighbours and their distance in Å.
Space group C2/m (No. 12)
Asymmetric unit:
Pr (0.0513, 0.0000, 0.1477) x4  5 Pr 3.64-3.70, 5 Y 3.66-3.68, 2 Nd 3.69
Pr (0.1500, 0.0000, 0.4493) x4  5 Nd 3.68-3.70, 7 Pr 3.68-3.72
Pr (0.2491, 0.0000, 0.7527) x4  3 Y 3.65-3.67, 6 Pr 3.67-3.72, 3 Nd 3.68-3.69
Nd (0.0497, 0.5000, 0.6519) x4  1 Y 3.67, 10 Pr 3.68-3.70, 1 Nd 3.72
Y (0.1497, 0.5000, 0.9509) x4  8 Pr 3.65-3.68, 3 Y 3.67-3.68, 1 Nd 3.67

density of states at the Fermi level = 7.75 states/eV/f.u.
E_tot = -102.01 eV/cell
energy relative to the elements = 0.0135 eV/atom